No. 1
A plane-wave DFT calculation with PBE with a Hubbard U was carried out for crystalline AcEr4Mn3O12 at its relaxed geometry.

```
data_AcEr4Mn3O12
_space_group_name_H-M_alt 'I m -3'
_space_group_IT_number 204
_space_group_name_Hall '-I 2 2 3'
_cell_length_a 8.134
_cell_length_b 8.134
_cell_length_c 8.134
_cell_angle_alpha 90.00
_cell_angle_beta 90.00
_cell_angle_gamma 90.00
loop_
_atom_site_label
_atom_site_fract_x
_atom_site_fract_y
_atom_site_fract_z
Ac1 0.000 0.000 0.000
Er1 0.250 0.250 0.250
Mn1 0.000 0.000 0.500
O1 0.000 0.318 0.158
```

Calculated values
Its crystal system is cubic. As for the total energy: -318.8 eV for the cell shown.

***

No. 2
A plane-wave DFT calculation with PBE with a Hubbard U was carried out for crystalline AcErMnO6 at its relaxed geometry.

```
data_AcErMnO6
_space_group_name_H-M_alt 'P -3 1 c'
_space_group_IT_number 163
_space_group_name_Hall '-P 3 2c'
_cell_length_a 5.8739
_cell_length_b 5.8739
_cell_length_c 8.4043
_cell_angle_alpha 90.00
_cell_angle_beta 90.00
_cell_angle_gamma 120.00
loop_
_atom_site_label
_atom_site_fract_x
_atom_site_fract_y
_atom_site_fract_z
Ac1 0.3333 0.6667 0.2500
Er1 0.0000 0.0000 0.0000
Mn1 0.3333 0.6667 0.7500
O1 0.0774 0.3712 0.6292
```

Calculated values
Its crystal system is trigonal. As for the total energy: -130.6 eV for the cell shown.